# 1
The following is a GGA-PBE calculation of a geometry-optimized BaTl4Ni structure, from Alexandria.

Properties
- symmetry = F-43m, No. 216
- crystal system = cubic

Cell lengths 6.4118, 6.4118, 6.4118 Å; angles 60.00, 60.00, 60.00 degrees
Element x y z (fractional)
Ba (0.0000, 0.0000, 0.0000)
Tl (0.3763, 0.3763, 0.3763)
Tl (0.3763, 0.3763, 0.8712)
Tl (0.3763, 0.8712, 0.3763)
Tl (0.8712, 0.3763, 0.3763)
Ni (0.7500, 0.7500, 0.7500)

***

# 2
The following is a GGA-PBE calculation of a geometry-optimized Ba2TlNi2 structure, from Alexandria.

Properties
- symmetry = P4/mbm, No. 127
- crystal system = tetragonal

Cell lengths 7.8990, 7.8990, 4.5119 Å; angles 90.00, 90.00, 90.00 degrees
Element x y z (fractional)
Ba (0.1804, 0.3196, 0.0000)
Ba (0.3196, 0.8196, 0.0000)
Ba (0.6804, 0.1804, 0.0000)
Ba (0.8196, 0.6804, 0.0000)
Tl (0.0000, 0.0000, 0.5000)
Tl (0.5000, 0.5000, 0.5000)
Ni (0.1051, 0.6051, 0.5000)
Ni (0.3949, 0.1051, 0.5000)
Ni (0.6051, 0.8949, 0.5000)
Ni (0.8949, 0.3949, 0.5000)

***

# 3
The following is a GGA-PBE calculation of a geometry-optimized BaTl2ZnNi structure, from Alexandria.

Properties
- symmetry = P4/mmm, No. 123
- crystal system = tetragonal

Cell lengths 5.1745, 5.1745, 4.9307 Å; angles 90.00, 90.00, 90.00 degrees
Element x y z (fractional)
Ba (0.0000, 0.0000, 0.0000)
Tl (0.0000, 0.5000, 0.5000)
Tl (0.5000, 0.0000, 0.5000)
Zn (0.5000, 0.5000, 0.0000)
Ni (0.5000, 0.5000, 0.5000)

***

# 4
The following is a GGA-PBE calculation of a geometry-optimized BaTm2Ni structure, from Alexandria.

Properties
- symmetry = R-3m, No. 166
- crystal system = trigonal

Cell lengths 10.7423, 10.7423, 10.7423 Å; angles 20.98, 20.98, 20.98 degrees
Element x y z (fractional)
Ba (0.0000, 0.0000, 0.0000)
Tm (0.1222, 0.1222, 0.1222)
Tm (0.8778, 0.8778, 0.8778)
Ni (0.5000, 0.5000, 0.5000)

***

# 5
The following is a GGA-PBE calculation of a geometry-optimized Ba2TmNi9 structure, from Alexandria.

Properties
- symmetry = R-3m, No. 166
- crystal system = trigonal

Cell lengths 9.2054, 9.2054, 9.2054 Å; angles 31.89, 31.89, 31.89 degrees
Element x y z (fractional)
Ba (0.1378, 0.1378, 0.1378)
Ba (0.8622, 0.8622, 0.8622)
Tm (0.0000, 0.0000, 0.0000)
Ni (0.0766, 0.5714, 0.5714)
Ni (0.3324, 0.3324, 0.3324)
Ni (0.4286, 0.4286, 0.9234)
Ni (0.4286, 0.9234, 0.4286)
Ni (0.5000, 0.5000, 0.5000)
Ni (0.5714, 0.0766, 0.5714)
Ni (0.5714, 0.5714, 0.0766)
Ni (0.6676, 0.6676, 0.6676)
Ni (0.9234, 0.4286, 0.4286)

***

# 6
The following is a GGA-PBE calculation of a geometry-optimized BaTm3Ni structure, from Alexandria.

Properties
- symmetry = Pm-3m, No. 221
- crystal system = cubic

Cell lengths 5.4006, 5.4006, 5.4006 Å; angles 90.00, 90.00, 90.00 degrees
Element x y z (fractional)
Ba (0.0000, 0.0000, 0.0000)
Tm (0.0000, 0.5000, 0.5000)
Tm (0.5000, 0.0000, 0.5000)
Tm (0.5000, 0.5000, 0.0000)
Ni (0.5000, 0.5000, 0.5000)

***

What are the final energy values for these records? In order: -15.576 -35.490 -14.365 -16.610 -60.834 -21.399 eV/cell.